Entry 1:
GGA-PBEsol SrGa3Co, optimized geometry; raw total energy = -21.53 eV per cell; ΔE_f = -0.386 eV/atom
1.0
-0.2640 4.0656 2.0663
-4.3088 -0.9004 1.2212
1.4941 -1.8784 3.8868
Sr Co Ga
1 1 3
direct
0.5000 0.5000 0.5000
0.0000 0.0000 0.0000
0.0000 0.5000 0.0000
0.0000 0.0000 0.5000
0.5000 0.0000 0.0000

Entry 2:
GGA-PBEsol ScNi2Ir, optimized geometry; raw total energy = -30.30 eV per cell; ΔE_f = -0.390 eV/atom
1.0
3.8085 0.0000 0.0000
0.0000 3.8085 0.0000
-1.9042 -1.9042 3.6417
Ir Ni Sc
1 2 1
direct
0.5000 0.5000 0.0000
0.7500 0.2500 0.5000
0.2500 0.7500 0.5000
0.0000 0.0000 0.0000